[1]
A geometry-optimized YFeW2 structure, computed with PBE-GGA.

Cell and atoms, written as POSCAR:
```
YFeW2
1.0
-0.719 -4.254 1.467
-4.256 -1.546 0.509
-1.637 -3.149 -2.858
Fe W Y
1 2 1
Direct
0.250 0.250 0.250
0.750 0.750 0.750
0.000 0.000 0.000
0.500 0.500 0.500
```

total magnetization: 1.117 μB/f.u.
E: -9.722 eV/atom
energy of formation from the pure elements: 452 meV per atom

=====

[2]
A geometry-optimized YZnFeW structure, computed with PBE-GGA.

Cell and atoms, written as POSCAR:
```
YZnFeW
1.0
0.000 3.201 3.201
3.201 0.000 3.201
3.201 3.201 0.000
Y W Zn Fe
1 1 1 1
Direct
0.250 0.250 0.250
0.500 0.500 0.500
0.000 0.000 0.000
0.750 0.750 0.750
```

energy above the most stable polymorph in this dataset: 0.000 eV per atom
total magnetization: 0.565 μB/f.u.
E: -6.712 eV/atom
energy of formation from the pure elements: 537 meV per atom

=====

[3]
A geometry-optimized YZnFeW structure, computed with PBE-GGA.

Cell and atoms, written as POSCAR:
```
YZnFeW
1.0
-1.945 -3.617 -2.080
-1.883 -3.363 2.516
-4.572 -0.523 0.090
W Zn Fe Y
1 1 1 1
Direct
0.250 0.250 0.250
0.000 0.000 0.000
0.750 0.750 0.750
0.500 0.500 0.500
```

energy above the most stable polymorph in this dataset: 0.207 eV per atom
total magnetization: 3.159 μB/f.u.
E: -6.505 eV/atom
energy of formation from the pure elements: 744 meV per atom

=====

[4]
A geometry-optimized Zn2FeW structure, computed with PBE-GGA.

Cell and atoms, written as POSCAR:
```
Zn2FeW
1.0
0.000 3.023 3.023
3.023 0.000 3.023
3.023 3.023 0.000
Zn W Fe
2 1 1
Direct
0.000 0.000 0.000
0.500 0.500 0.500
0.250 0.250 0.250
0.750 0.750 0.750
```

energy above the most stable polymorph in this dataset: 0.260 eV per atom
total magnetization: 2.465 μB/f.u.
E: -5.468 eV/atom
energy of formation from the pure elements: 482 meV per atom

=====

[5]
A geometry-optimized ZnFe2W structure, computed with PBE-GGA.

Cell and atoms, written as POSCAR:
```
ZnFe2W
1.0
1.794 -1.062 3.586
-2.271 -0.245 3.462
-0.795 -3.698 1.701
Fe Zn W
2 1 1
Direct
0.000 0.000 0.000
0.750 0.750 0.750
0.500 0.500 0.500
0.250 0.250 0.250
```

total magnetization: 3.825 μB/f.u.
E: -7.444 eV/atom
energy of formation from the pure elements: 267 meV per atom

=====

[6]
A geometry-optimized ZrZnFeW structure, computed with PBE-GGA.

Cell and atoms, written as POSCAR:
```
ZrZnFeW
1.0
0.000 3.161 3.161
3.161 0.000 3.161
3.161 3.161 0.000
Zn Zr Fe W
1 1 1 1
Direct
0.000 0.000 0.000
0.250 0.250 0.250
0.750 0.750 0.750
0.500 0.500 0.500
```

energy above the most stable polymorph in this dataset: 0.000 eV per atom
total magnetization: 1.904 μB/f.u.
E: -7.439 eV/atom
energy of formation from the pure elements: 331 meV per atom